1 | VASP calculation (PBE) on a relaxed structure of FePdCl6.

Values from the calculation:
The density of states at the Fermi level comes out at 2.6 states/eV per cell. The magnetization comes out at 3.99 Bohr magnetons per cell. As for the space group: R-3 (148).

abc: 6.113 6.113 6.503
angles: 61.97 61.97 60.01
Positions (direct):
Fe1 0.500 0.500 0.500
Pd1 0.000 0.000 0.000
Cl1 0.107 0.398 0.747
Cl2 0.748 0.107 0.747
Cl3 0.602 0.252 0.253
Cl4 0.252 0.893 0.253
Cl5 0.893 0.602 0.253
Cl6 0.398 0.748 0.747

***

2 | VASP calculation (PBE) on a relaxed structure of FePdCl6.

Values from the calculation:
The density of states at the Fermi level comes out at 0.1 states/eV per cell. The magnetization comes out at 4.01 Bohr magnetons per cell. As for the space group: C2/m (12).

abc: 6.069 6.690 6.077
angles: 81.38 70.70 63.03
Positions (direct):
Fe1 0.000 0.000 0.000
Pd1 0.500 0.000 0.500
Cl1 0.226 0.000 0.227
Cl2 0.124 0.272 0.741
Cl3 0.774 0.000 0.773
Cl4 0.604 0.272 0.259
Cl5 0.876 0.728 0.259
Cl6 0.396 0.728 0.741

***

Least stable structure: 1